A plane-wave DFT calculation with PBE was carried out for a relaxed TbNd2Sc2 crystal.

Cell: 17.9790 4.8255 3.5294 Å, 90.00 101.23 90.00°
Last column: nearest neighbours and their distance in Å.
Space group C2/m (No. 12)
One atom of each set of equivalent atoms:
Tb: 0.0000 0.0000 0.0000 (multiplicity 2)  8 Sc 3.43, 2 Nd 3.43, 2 Tb 3.53
Nd: 0.1946 0.0000 0.1945 (multiplicity 4)  1 Tb 3.43, 5 Sc 3.46-3.70, 6 Nd 3.53-3.57
Sc: 0.0955 0.5000 0.5951 (multiplicity 4)  3 Sc 3.37-3.53, 4 Tb 3.43, 5 Nd 3.46-3.70

Excess energy over the best structure of this formula in the dataset ... 0 meV/atom
Crystal system ... monoclinic
Volume ... 300 Å³/cell
Formation enthalpy at 0 K ... 55 meV/atom

=====

A plane-wave DFT calculation with PBE was carried out for a relaxed Tb6NdSc3 crystal.

Cell: 9.6476 9.6476 11.3658 Å, 90.00 90.00 120.00°
Last column: nearest neighbours and their distance in Å.
Space group R3 (No. 146, hexagonal axes)
One atom of each set of equivalent atoms:
Tb: 0.9997 0.3398 0.0000 (multiplicity 9)  1 Nd 3.28, 2 Sc 3.29
Tb: 0.9999 0.6652 0.5001 (multiplicity 9)  3 Sc 3.23-3.38
Nd: 0.0000 0.0000 0.0005 (multiplicity 3)  2 Sc 2.96, 3 Tb 3.28
Sc: 0.0000 0.0000 0.2613 (multiplicity 3)  1 Sc 2.72, 1 Nd 2.96
Sc: 0.0000 0.0000 0.5007 (multiplicity 3)  2 Sc 2.72
Sc: 0.0000 0.0000 0.7404 (multiplicity 3)  1 Sc 2.72, 1 Nd 2.96

Excess energy over the best structure of this formula in the dataset ... 21 meV/atom
Crystal system ... trigonal
Volume ... 916 Å³/cell
Formation enthalpy at 0 K ... 185 meV/atom

=====

A plane-wave DFT calculation with PBE was carried out for a relaxed Tb3Nd8Sc crystal.

Cell: 8.7200 8.7200 11.6270 Å, 90.00 90.00 90.00°
Last column: nearest neighbours and their distance in Å.
Space group I-42m (No. 121)
One atom of each set of equivalent atoms:
Tb: 0.0000 0.0000 0.0000 (multiplicity 2)  8 Nd 3.21-3.36
Tb: 0.0000 0.5000 0.2500 (multiplicity 4)  4 Nd 3.44
Nd: 0.1260 0.1260 0.2562 (multiplicity 8)  3 Nd 3.11-3.34, 1 Sc 3.23, 3 Tb 3.36-3.44
Nd: 0.2400 0.2400 0.5171 (multiplicity 8)  1 Sc 2.97, 1 Tb 3.21, 1 Nd 3.23
Sc: 0.0000 0.0000 0.5000 (multiplicity 2)  8 Nd 2.97-3.23

Crystal system ... tetragonal
Volume ... 884 Å³/cell
Formation enthalpy at 0 K ... 548 meV/atom

=====

A plane-wave DFT calculation with PBE was carried out for a relaxed Tb12NdSc7 crystal.

Cell: 11.0229 11.0229 11.0229 Å, 90.00 90.00 90.00°
Last column: nearest neighbours and their distance in Å.
Space group Im-3 (No. 204)
One atom of each set of equivalent atoms:
Tb: 0.0000 0.2648 0.2671 (multiplicity 24)  2 Sc 2.77
Nd: 0.0000 0.0000 0.0000 (multiplicity 2)  12 Tb 4.15
Sc: 0.0000 0.0000 0.5000 (multiplicity 6)  12 Tb 3.65-3.92
Sc: 0.2500 0.2500 0.2500 (multiplicity 8)  6 Tb 2.77

Excess energy over the best structure of this formula in the dataset ... 488 meV/atom
Crystal system ... cubic
Volume ... 1339 Å³/cell
Formation enthalpy at 0 K ... 662 meV/atom

=====

A plane-wave DFT calculation with PBE was carried out for a relaxed Tb4NdSc5 crystal.

Cell: 10.1010 10.1010 5.7248 Å, 90.00 90.00 90.00°
Last column: nearest neighbours and their distance in Å.
Space group I4mm (No. 107)
One atom of each set of equivalent atoms:
Tb: 0.0000 0.3241 0.0000 (multiplicity 8)  5 Sc 3.15-3.50
Nd: 0.0000 0.0000 0.7302 (multiplicity 2)  2 Sc 2.72-3.00
Sc: 0.0000 0.0000 0.2061 (multiplicity 2)  2 Nd 2.72-3.00
Sc: 0.1899 0.1899 0.4524 (multiplicity 8)  3 Sc 3.06-3.34, 1 Nd 3.14, 2 Tb 3.15

Crystal system ... tetragonal
Volume ... 584 Å³/cell
Formation enthalpy at 0 K ... 247 meV/atom

=====

A plane-wave DFT calculation with PBE was carried out for a relaxed Tb3Nd2Sc2 crystal.

Cell: 11.0167 4.9861 7.8732 Å, 90.00 98.50 90.00°
Last column: nearest neighbours and their distance in Å.
Space group C2/m (No. 12)
One atom of each set of equivalent atoms:
Tb: 0.0000 0.0000 0.0000 (multiplicity 2)  6 Sc 3.47-3.51, 4 Nd 3.48, 2 Tb 3.52
Tb: 0.1440 0.0000 0.4297 (multiplicity 4)  4 Tb 3.48-3.52, 5 Nd 3.51-3.57, 3 Sc 3.51-3.54
Nd: 0.0729 0.5000 0.7239 (multiplicity 4)  4 Sc 3.42-3.50, 7 Tb 3.48-3.57, 1 Nd 3.65
Sc: 0.2154 0.5000 0.1402 (multiplicity 4)  4 Nd 3.42-3.50, 6 Tb 3.47-3.54, 2 Sc 3.49

Excess energy over the best structure of this formula in the dataset ... 0 meV/atom
Crystal system ... monoclinic
Volume ... 428 Å³/cell
Formation enthalpy at 0 K ... 47 meV/atom

=====

A plane-wave DFT calculation with PBE was carried out for a relaxed Tb3NdSc7 crystal.

Cell: 12.0522 10.5383 5.4687 Å, 90.00 116.90 90.00°
Last column: nearest neighbours and their distance in Å.
Space group C2/m (No. 12)
One atom of each set of equivalent atoms:
Tb: 0.0000 0.0000 0.0000 (multiplicity 2)  4 Sc 3.09
Tb: 0.0000 0.2105 0.5000 (multiplicity 4)  5 Sc 3.05-3.20
Nd: 0.0000 0.5000 0.0000 (multiplicity 2)  2 Sc 2.73
Sc: 0.0000 0.5000 0.5000 (multiplicity 2)  2 Nd 2.73, 2 Tb 3.05
Sc: 0.2065 0.0000 0.7060 (multiplicity 4)  2 Tb 3.14, 1 Nd 3.15, 6 Sc 3.37-3.39
Sc: 0.2188 0.1897 0.2187 (multiplicity 8)  5 Sc 3.09-3.39, 2 Tb 3.09-3.20

Crystal system ... monoclinic
Volume ... 619 Å³/cell
Formation enthalpy at 0 K ... 285 meV/atom

=====

A plane-wave DFT calculation with PBE was carried out for a relaxed Tb6NdSc2 crystal.

Cell: 13.4830 12.9398 6.5689 Å, 90.00 103.96 90.00°
Last column: nearest neighbours and their distance in Å.
Space group C2/c (No. 15)
One atom of each set of equivalent atoms:
Tb: 0.0264 0.1408 0.4987 (multiplicity 8)  3 Sc 3.16-3.45, 1 Tb 3.17, 1 Nd 3.31
Tb: 0.1206 0.4141 0.3232 (multiplicity 8)  3 Tb 3.16-3.41, 2 Sc 3.28-3.30, 1 Nd 3.36
Tb: 0.2430 0.2063 0.2354 (multiplicity 8)  2 Sc 3.28-3.33, 4 Tb 3.28-3.62, 1 Nd 3.54
Nd: 0.0000 0.3571 0.7500 (multiplicity 4)  8 Tb 3.31-3.64
Sc: 0.1821 0.0291 0.8704 (multiplicity 8)  7 Tb 3.16-3.45, 2 Sc 3.37

Excess energy over the best structure of this formula in the dataset ... 0 meV/atom
Crystal system ... monoclinic
Volume ... 1112 Å³/cell
Formation enthalpy at 0 K ... 129 meV/atom

=====

A plane-wave DFT calculation with PBE was carried out for a relaxed Tb3Nd7Sc crystal.

Cell: 16.5103 6.4239 14.2634 Å, 90.00 100.28 90.00°
Last column: nearest neighbours and their distance in Å.
Space group Cc (No. 9)
One atom of each set of equivalent atoms:
Tb: 0.0000 0.1784 0.0000 (multiplicity 4)  3 Tb 3.39-3.68, 9 Nd 3.43-3.76
Tb: 0.1738 0.1861 0.1673 (multiplicity 4)  1 Sc 3.16, 4 Nd 3.21-3.53, 1 Tb 3.39
Tb: 0.4111 0.1828 0.9144 (multiplicity 4)  1 Sc 3.24, 4 Nd 3.51-3.62, 1 Tb 3.63
Nd: 0.0025 0.0029 0.2500 (multiplicity 4)  4 Tb 3.46-3.76, 7 Nd 3.52-3.86
Nd: 0.0909 0.3200 0.5882 (multiplicity 4)  1 Sc 3.21, 2 Tb 3.51-3.56
Nd: 0.1011 0.4957 0.8465 (multiplicity 4)  1 Sc 3.43, 3 Tb 3.61-3.65, 6 Nd 3.68-3.83
Nd: 0.2004 0.0057 0.9439 (multiplicity 4)  1 Sc 3.37, 3 Tb 3.49-3.75, 3 Nd 3.54-3.70
Nd: 0.3046 0.4940 0.5593 (multiplicity 4)  1 Sc 3.43, 4 Nd 3.53-3.79, 3 Tb 3.53-3.65
Nd: 0.3250 0.3223 0.3298 (multiplicity 4)  1 Sc 3.19, 2 Tb 3.21-3.43, 3 Nd 3.52-3.54
Nd: 0.4000 0.0025 0.6567 (multiplicity 4)  1 Sc 3.39, 6 Nd 3.61-3.79, 2 Tb 3.64-3.69
Sc: 0.2496 0.2415 0.7505 (multiplicity 4)  2 Tb 3.16-3.24, 6 Nd 3.19-3.43

Excess energy over the best structure of this formula in the dataset ... 0 meV/atom
Crystal system ... monoclinic
Volume ... 1489 Å³/cell
Formation enthalpy at 0 K ... 86 meV/atom

=====

A plane-wave DFT calculation with PBE was carried out for a relaxed Tb3Nd4Sc crystal.

Cell: 11.5112 7.2851 6.2735 Å, 90.00 90.00 90.00°
Last column: nearest neighbours and their distance in Å.
Space group Pmn2_1 (No. 31)
One atom of each set of equivalent atoms:
Tb: 0.0000 0.1220 0.0000 (multiplicity 2)  4 Tb 3.54, 2 Sc 3.56-3.61, 6 Nd 3.58-3.70
Tb: 0.2496 0.1187 0.3285 (multiplicity 4)  2 Sc 3.51-3.56, 4 Tb 3.54-3.58, 6 Nd 3.56-3.73
Nd: 0.0000 0.3685 0.5063 (multiplicity 2)  2 Sc 3.53-3.75, 6 Nd 3.54-3.78, 4 Tb 3.58-3.65
Nd: 0.0000 0.6291 0.9856 (multiplicity 2)  6 Nd 3.55-3.78, 4 Tb 3.56-3.70, 2 Sc 3.59-3.70
Nd: 0.2416 0.6306 0.3367 (multiplicity 4)  1 Sc 3.48, 6 Nd 3.54-3.67, 5 Tb 3.56-3.73
Sc: 0.0000 0.8836 0.4959 (multiplicity 2)  6 Nd 3.48-3.75, 6 Tb 3.51-3.61

Excess energy over the best structure of this formula in the dataset ... 0 meV/atom
Crystal system ... orthorhombic
Volume ... 526 Å³/cell
Formation enthalpy at 0 K ... 42 meV/atom

=====

A plane-wave DFT calculation with PBE was carried out for a relaxed Tb15NdSc4 crystal.

Cell: 4.9643 4.9643 24.7403 Å, 90.00 90.00 90.00°
Last column: nearest neighbours and their distance in Å.
Space group P4/mmm (No. 123)
One atom of each set of equivalent atoms:
Tb: 0.0000 0.0000 0.0000 (multiplicity 1)  4 Nd 3.51, 8 Tb 3.59
Tb: 0.0000 0.0000 0.2044 (multiplicity 2)  8 Tb 3.47-3.50, 4 Sc 3.51
Tb: 0.0000 0.0000 0.4012 (multiplicity 2)  8 Tb 3.48, 4 Sc 3.51
Tb: 0.0000 0.5000 0.1048 (multiplicity 4)  2 Sc 3.48, 8 Tb 3.50-3.59, 2 Nd 3.59
Tb: 0.0000 0.5000 0.3024 (multiplicity 4)  8 Tb 3.47-3.51, 4 Sc 3.48-3.49
Tb: 0.0000 0.5000 0.5000 (multiplicity 2)  8 Tb 3.48-3.51, 4 Sc 3.48
Nd: 0.5000 0.5000 0.0000 (multiplicity 1)  12 Tb 3.51-3.59
Sc: 0.5000 0.5000 0.2035 (multiplicity 2)  12 Tb 3.48-3.51
Sc: 0.5000 0.5000 0.4012 (multiplicity 2)  12 Tb 3.48-3.51

Crystal system ... tetragonal
Volume ... 610 Å³/cell
Formation enthalpy at 0 K ... 35 meV/atom

=====

A plane-wave DFT calculation with PBE was carried out for a relaxed Tb2Nd6Sc crystal.

Cell: 16.3769 11.7935 6.2200 Å, 90.00 96.41 90.00°
Last column: nearest neighbours and their distance in Å.
Space group C2/c (No. 15)
One atom of each set of equivalent atoms:
Tb: 0.1706 0.1028 0.0725 (multiplicity 8)  9 Nd 3.47-3.84
Nd: 0.0492 0.1410 0.5121 (multiplicity 8)  4 Nd 3.37-3.69, 1 Sc 3.44, 3 Tb 3.49-3.61
Nd: 0.1104 0.3648 0.8248 (multiplicity 8)  5 Nd 3.37-3.63, 2 Sc 3.38, 2 Tb 3.54-3.59
Nd: 0.2089 0.3604 0.3535 (multiplicity 8)  4 Nd 3.37-3.62, 1 Sc 3.43, 3 Tb 3.47-3.53
Sc: 0.0000 0.3933 0.2500 (multiplicity 4)  8 Nd 3.38-3.44

Excess energy over the best structure of this formula in the dataset ... 59 meV/atom
Crystal system ... monoclinic
Volume ... 1194 Å³/cell
Formation enthalpy at 0 K ... 91 meV/atom